Entry 1:
A plane-wave DFT calculation with PBE-GGA was carried out for an optimized crystal structure of Sc4Nb2Pb3C3.

Lattice parameters (Å, degrees): 5.8104 5.8104 15.0939 101.23 101.23 60.13
With the nearest neighbours (Å) after each atom.
Atoms (fractional coordinates):
Sc (0.0366, 0.1860, 0.0825)  3 C 2.30-2.31
Sc (0.1300, 0.3062, 0.4175)  3 C 2.30-2.31
Sc (0.1860, 0.0366, 0.5825)  3 C 2.30-2.31
Sc (0.3062, 0.1300, 0.9175)  3 C 2.30-2.31
Sc (0.6938, 0.8700, 0.0825)  3 C 2.30-2.31
Sc (0.8140, 0.9634, 0.4175)  3 C 2.30-2.31
Sc (0.8700, 0.6938, 0.5825)  3 C 2.30-2.31
Sc (0.9634, 0.8140, 0.9175)  3 C 2.30-2.31
Nb (0.3512, 0.5249, 0.0737)  3 C 2.18
Nb (0.4751, 0.6488, 0.4263)  3 C 2.18
Nb (0.5249, 0.3512, 0.5737)  3 C 2.18
Nb (0.6488, 0.4751, 0.9263)  3 C 2.18
Pb (0.0945, 0.9055, 0.2500)  4 Sc 3.14-3.15, 2 Nb 3.19, 6 Pb 3.25-3.42
Pb (0.2607, 0.4176, 0.7519)  4 Sc 3.15-3.17, 2 Nb 3.20-3.22, 6 Pb 3.25-3.42
Pb (0.4176, 0.2607, 0.2519)  4 Sc 3.15-3.17, 2 Nb 3.20-3.22, 6 Pb 3.25-3.42
Pb (0.5824, 0.7393, 0.7481)  4 Sc 3.15-3.17, 2 Nb 3.20-3.22, 6 Pb 3.25-3.42
Pb (0.7393, 0.5824, 0.2481)  4 Sc 3.15-3.17, 2 Nb 3.20-3.22, 6 Pb 3.25-3.42
Pb (0.9055, 0.0945, 0.7500)  4 Sc 3.14-3.15, 2 Nb 3.19, 6 Pb 3.25-3.42
C (0.0000, 0.5000, 0.0000)  2 Nb 2.18, 4 Sc 2.31
C (0.1818, 0.6594, 0.5001)  2 Nb 2.18, 4 Sc 2.30-2.31
C (0.3406, 0.8182, 0.9999)  2 Nb 2.18, 4 Sc 2.30-2.31
C (0.5000, 0.0000, 0.5000)  2 Nb 2.18, 4 Sc 2.31
C (0.6594, 0.1818, 0.0001)  2 Nb 2.18, 4 Sc 2.30-2.31
C (0.8182, 0.3406, 0.4999)  2 Nb 2.18, 4 Sc 2.30-2.31

Summary:
DFT total energy, eV/cell: -181.9
Space-group type: C2/c, No. 15
Magnetization, μB per formula unit: 0.00

=====

Entry 2:
A plane-wave DFT calculation with PBE-GGA was carried out for an optimized crystal structure of Sc2Nb4Pb3C3.

Lattice parameters (Å, degrees): 5.7686 5.7686 14.8311 101.31 101.31 60.06
With the nearest neighbours (Å) after each atom.
Atoms (fractional coordinates):
Sc (0.0294, 0.8706, 0.5863)  3 C 2.30-2.33
Sc (0.1294, 0.9706, 0.9137)  3 C 2.30-2.33
Sc (0.8706, 0.0294, 0.0863)  3 C 2.30-2.33
Sc (0.9706, 0.1294, 0.4137)  3 C 2.30-2.33
Nb (0.1924, 0.3509, 0.0757)  3 C 2.19-2.22
Nb (0.3002, 0.4823, 0.4244)  3 C 2.19-2.22
Nb (0.3509, 0.1924, 0.5757)  3 C 2.19-2.22
Nb (0.4823, 0.3002, 0.9244)  3 C 2.19-2.22
Nb (0.5177, 0.6998, 0.0756)  3 C 2.19-2.22
Nb (0.6491, 0.8076, 0.4243)  3 C 2.19-2.22
Nb (0.6998, 0.5177, 0.5756)  3 C 2.19-2.22
Nb (0.8076, 0.6491, 0.9243)  3 C 2.19-2.22
Pb (0.0849, 0.2602, 0.7522)  2 Sc 3.07-3.08, 4 Nb 3.14-3.15, 6 Pb 3.28-3.43
Pb (0.2602, 0.0849, 0.2522)  2 Sc 3.07-3.08, 4 Nb 3.14-3.15, 6 Pb 3.28-3.43
Pb (0.4269, 0.5731, 0.7500)  2 Sc 3.10, 4 Nb 3.16-3.17, 6 Pb 3.28-3.43
Pb (0.5731, 0.4269, 0.2500)  2 Sc 3.10, 4 Nb 3.16-3.17, 6 Pb 3.28-3.43
Pb (0.7398, 0.9151, 0.7478)  2 Sc 3.07-3.08, 4 Nb 3.14-3.15, 6 Pb 3.28-3.43
Pb (0.9151, 0.7398, 0.2478)  2 Sc 3.07-3.08, 4 Nb 3.14-3.15, 6 Pb 3.28-3.43
C (0.0000, 0.5000, 0.5000)  4 Nb 2.19, 2 Sc 2.33
C (0.1705, 0.6579, 0.0000)  4 Nb 2.19-2.22, 2 Sc 2.30-2.31
C (0.3421, 0.8295, 0.5000)  4 Nb 2.19-2.22, 2 Sc 2.30-2.31
C (0.5000, 0.0000, 0.0000)  4 Nb 2.19, 2 Sc 2.33
C (0.6579, 0.1705, 0.5000)  4 Nb 2.19-2.22, 2 Sc 2.30-2.31
C (0.8295, 0.3421, 0.0000)  4 Nb 2.19-2.22, 2 Sc 2.30-2.31

Summary:
DFT total energy, eV/cell: -193.5
Space-group type: C2/c, No. 15
Magnetization, μB per formula unit: 0.00

=====

Entry 3:
A plane-wave DFT calculation with PBE-GGA was carried out for an optimized crystal structure of Ta2Nb4Pb3C3.

Lattice parameters (Å, degrees): 5.7303 5.7303 14.5077 101.42 101.42 59.96
With the nearest neighbours (Å) after each atom.
Atoms (fractional coordinates):
Ta (0.0257, 0.8544, 0.5780)  3 C 2.18
Ta (0.1456, 0.9743, 0.9220)  3 C 2.18
Ta (0.8544, 0.0257, 0.0780)  3 C 2.18
Ta (0.9743, 0.1456, 0.4220)  3 C 2.18
Nb (0.1929, 0.3657, 0.0800)  3 C 2.23
Nb (0.3117, 0.4679, 0.4200)  3 C 2.23
Nb (0.3657, 0.1929, 0.5800)  3 C 2.23
Nb (0.4679, 0.3117, 0.9200)  3 C 2.23
Nb (0.5321, 0.6883, 0.0800)  3 C 2.23
Nb (0.6343, 0.8071, 0.4200)  3 C 2.23
Nb (0.6883, 0.5321, 0.5800)  3 C 2.23
Nb (0.8071, 0.6343, 0.9200)  3 C 2.23
Pb (0.0841, 0.2478, 0.7489)  4 Nb 3.07-3.08, 2 Ta 3.09, 6 Pb 3.30-3.31
Pb (0.2478, 0.0841, 0.2489)  4 Nb 3.07-3.08, 2 Ta 3.09, 6 Pb 3.30-3.31
Pb (0.4171, 0.5829, 0.7500)  4 Nb 3.06, 2 Ta 3.08, 6 Pb 3.30-3.31
Pb (0.5829, 0.4171, 0.2500)  4 Nb 3.06, 2 Ta 3.08, 6 Pb 3.30-3.31
Pb (0.7522, 0.9159, 0.7511)  4 Nb 3.07-3.08, 2 Ta 3.09, 6 Pb 3.30-3.31
Pb (0.9159, 0.7522, 0.2511)  4 Nb 3.07-3.08, 2 Ta 3.09, 6 Pb 3.30-3.31
C (0.0000, 0.5000, 0.5000)  2 Ta 2.18, 4 Nb 2.23
C (0.1624, 0.6761, 0.0000)  2 Ta 2.18, 4 Nb 2.23
C (0.3239, 0.8376, 0.5000)  2 Ta 2.18, 4 Nb 2.23
C (0.5000, 0.0000, 0.0000)  2 Ta 2.18, 4 Nb 2.23
C (0.6761, 0.1624, 0.5000)  2 Ta 2.18, 4 Nb 2.23
C (0.8376, 0.3239, 0.0000)  2 Ta 2.18, 4 Nb 2.23

Summary:
DFT total energy, eV/cell: -211.2
Space-group type: C2/c, No. 15
Magnetization, μB per formula unit: 0.00

=====

Entry 4:
A plane-wave DFT calculation with PBE-GGA was carried out for an optimized crystal structure of Ta4Nb2Pb3C3.

Lattice parameters (Å, degrees): 5.7246 5.7246 14.4713 101.45 101.45 59.95
With the nearest neighbours (Å) after each atom.
Atoms (fractional coordinates):
Ta (0.0201, 0.1988, 0.0783)  3 C 2.19-2.20
Ta (0.1462, 0.3070, 0.4216)  3 C 2.19-2.20
Ta (0.1988, 0.0201, 0.5783)  3 C 2.19-2.20
Ta (0.3070, 0.1462, 0.9216)  3 C 2.19-2.20
Ta (0.6930, 0.8538, 0.0784)  3 C 2.19-2.20
Ta (0.8012, 0.9799, 0.4217)  3 C 2.19-2.20
Ta (0.8538, 0.6930, 0.5784)  3 C 2.19-2.20
Ta (0.9799, 0.8012, 0.9217)  3 C 2.19-2.20
Nb (0.3663, 0.5275, 0.0809)  3 C 2.24-2.25
Nb (0.4725, 0.6337, 0.4191)  3 C 2.24-2.25
Nb (0.5275, 0.3663, 0.5809)  3 C 2.24-2.25
Nb (0.6337, 0.4725, 0.9191)  3 C 2.24-2.25
Pb (0.0799, 0.9201, 0.2500)  2 Nb 3.07, 4 Ta 3.08-3.09, 6 Pb 3.30-3.32
Pb (0.2496, 0.4143, 0.7486)  2 Nb 3.05, 4 Ta 3.07-3.08, 6 Pb 3.29-3.32
Pb (0.4143, 0.2496, 0.2486)  2 Nb 3.05, 4 Ta 3.07-3.08, 6 Pb 3.29-3.32
Pb (0.5857, 0.7504, 0.7514)  2 Nb 3.05, 4 Ta 3.07-3.08, 6 Pb 3.29-3.32
Pb (0.7504, 0.5857, 0.2514)  2 Nb 3.05, 4 Ta 3.07-3.08, 6 Pb 3.29-3.32
Pb (0.9201, 0.0799, 0.7500)  2 Nb 3.07, 4 Ta 3.08-3.09, 6 Pb 3.30-3.32
C (0.0000, 0.5000, 0.0000)  4 Ta 2.19, 2 Nb 2.25
C (0.1573, 0.6710, 0.5000)  4 Ta 2.19-2.20, 2 Nb 2.24
C (0.3290, 0.8427, 0.0000)  4 Ta 2.19-2.20, 2 Nb 2.24
C (0.5000, 0.0000, 0.5000)  4 Ta 2.19, 2 Nb 2.25
C (0.6710, 0.1573, 0.0000)  4 Ta 2.19-2.20, 2 Nb 2.24
C (0.8427, 0.3290, 0.5000)  4 Ta 2.19-2.20, 2 Nb 2.24

Summary:
DFT total energy, eV/cell: -217.5
Space-group type: C2/c, No. 15
Magnetization, μB per formula unit: 0.00

=====

- What is the formula in the third record?
  Ta2Nb4Pb3C3

=====

- DFT total energy of number 4 (Ta4Nb2Pb3C3)?
  -217.5 eV/cell

=====

- What is the DFT total energy in the third record?
  -211.2 eV/cell